PtRhC2 | GGA-PBEsol | relaxed

Structure (POSCAR):
```
PtRhC2
1.0
4.6068 0.0000 0.0000
0.0000 4.6068 0.0000
-2.3034 -2.3034 4.5902
C Rh Pt
4 2 2
Direct
0.3840 0.8750 0.2500
0.8660 0.3750 0.2500
0.1250 0.1340 0.7500
0.6250 0.6160 0.7500
0.7500 0.2500 0.5000
0.5000 0.5000 0.0000
0.2500 0.7500 0.5000
0.0000 0.0000 0.0000
```

Computed properties:
Calculated total energy (eV for the cell shown): -63.2
DOS(E_F) (states/eV per cell): 3.2
DFT formation energy (eV per atom): 0.6942

=====

LaY2Rh | GGA-PBEsol | relaxed

Structure (POSCAR):
```
LaY2Rh
1.0
-2.5584 -2.5858 -0.4391
3.7829 -3.8068 0.3773
-1.3213 3.0100 5.2594
Y Rh La
2 1 1
Direct
0.9473 0.9473 0.8947
0.7511 0.2511 0.5023
0.2507 0.7507 0.5014
0.5508 0.5508 0.1016
```

Computed properties:
Calculated total energy (eV for the cell shown): -28.6
DOS(E_F) (states/eV per cell): 3.4
DFT formation energy (eV per atom): -0.3742
Relative energy among the computed polymorphs (meV/atom): 11

=====

KMoP2 | GGA-PBEsol | relaxed

Structure (POSCAR):
```
KMoP2
1.0
3.2610 0.0000 0.0000
0.0000 3.2610 0.0000
0.0000 0.0000 8.2664
K Mo P
1 1 2
Direct
0.0000 0.0000 0.4815
0.5000 0.5000 0.9498
0.0000 0.0000 0.8523
0.5000 0.5000 0.2164
```

Computed properties:
Calculated total energy (eV for the cell shown): -24.4
DOS(E_F) (states/eV per cell): 2.5
DFT formation energy (eV per atom): 0.0117
Relative energy among the computed polymorphs (meV/atom): 259

=====

LiReW | GGA-PBEsol | relaxed

Structure (POSCAR):
```
LiReW
1.0
-2.7696 2.3106 2.0821
-1.4676 -1.3128 3.6698
1.1260 1.9418 3.5080
Li Re W
1 1 1
Direct
0.0000 0.0000 0.0000
0.5000 0.5000 0.5000
0.2500 0.2500 0.2500
```

Computed properties:
Calculated total energy (eV for the cell shown): -25.8
DOS(E_F) (states/eV per cell): 0.8
DFT formation energy (eV per atom): 1.1065

=====

YTaAl | GGA-PBEsol | relaxed

Structure (POSCAR):
```
YTaAl
1.0
2.9887 0.0000 0.0000
0.0000 2.9887 0.0000
-1.4944 -1.4944 6.7392
Y Al Ta
1 1 1
Direct
0.6636 0.6636 0.3272
0.9892 0.9892 0.9783
0.3473 0.3473 0.6945
```

Computed properties:
Calculated total energy (eV for the cell shown): -23.4
DOS(E_F) (states/eV per cell): 3.5
DFT formation energy (eV per atom): 0.0051
Relative energy among the computed polymorphs (meV/atom): 0

=====

Li4Nb3V5O16 | GGA-PBEsol | relaxed

Structure (POSCAR):
```
Li4Nb3V5O16
1.0
5.8087 0.0000 0.0000
-2.9044 5.0388 0.0370
0.0000 -0.1526 9.7127
Li Nb V O
4 3 5 16
Direct
0.3374 0.6747 0.9006
0.9912 0.9824 0.9918
0.9780 0.9559 0.4943
0.6698 0.3396 0.3843
0.1710 0.3421 0.2175
0.8201 0.1818 0.7122
0.3617 0.1818 0.7122
0.6516 0.8331 0.2116
0.3361 0.6721 0.4896
0.1815 0.8331 0.2116
0.8160 0.6319 0.7160
0.6743 0.3485 0.9896
0.6570 0.8183 0.6027
0.4812 0.9624 0.3393
0.3357 0.6715 0.0949
0.9939 0.9878 0.3117
0.9918 0.9837 0.8098
0.1613 0.8183 0.6027
0.4879 0.5306 0.3442
0.0427 0.5306 0.3442
0.8327 0.6654 0.1066
0.1666 0.3332 0.5900
0.9738 0.4928 0.8490
0.5189 0.4928 0.8490
0.6790 0.3580 0.5735
0.8301 0.1690 0.1007
0.5185 0.0370 0.8576
0.3389 0.1690 0.1007
```

Computed properties:
Calculated total energy (eV for the cell shown): -236.9
DOS(E_F) (states/eV per cell): 17.0
ΔE_f (raw) (meV/atom): -2302